[1]
{
  "formula": "BaScOs",
  "functional": "GGA-PBE",
  "state": "relaxed",
  "spacegroup": "F-43m (216)",
  "delta_e_f_ev_per_atom": 0.5219,
  "de_polymorph_kj_per_mol_fu": 80,
  "e_tot_ev_per_cell": -17.92,
  "magnetic_moment_mub_per_fu": 0.00,
  "lattice_angstrom": [[0.000, 3.449, 3.449], [3.449, 0.000, 3.449], [3.449, 3.449, 0.000]],
  "species": ["Ba", "Sc", "Os"],
  "fractional_positions": [[0.000, 0.000, 0.000], [0.500, 0.500, 0.500], [0.750, 0.750, 0.750]]
}


[2]
{
  "formula": "CuNi2Ru",
  "functional": "GGA-PBE",
  "state": "relaxed",
  "spacegroup": "Imm2 (44)",
  "delta_e_f_ev_per_atom": 0.2148,
  "de_polymorph_kj_per_mol_fu": 50,
  "e_tot_ev_per_cell": -24.08,
  "magnetic_moment_mub_per_fu": 1.75,
  "lattice_angstrom": [[-1.323, 2.144, 4.282], [1.323, -2.144, 4.282], [1.323, 2.144, -4.282]],
  "species": ["Cu", "Ni", "Ni", "Ru"],
  "fractional_positions": [[0.000, 0.000, 0.000], [0.247, 0.747, 0.500], [0.486, 0.486, 0.000], [0.733, 0.233, 0.500]]
}


[3]
{
  "formula": "Tb9Dy2Ho",
  "functional": "GGA-PBE",
  "state": "relaxed",
  "spacegroup": "P4/mmm (123)",
  "delta_e_f_ev_per_atom": 0.0191,
  "de_polymorph_kj_per_mol_fu": 0,
  "e_tot_ev_per_cell": -55.22,
  "magnetic_moment_mub_per_fu": 0.00,
  "lattice_angstrom": [[5.017, 0.000, 0.000], [0.000, 5.017, 0.000], [0.000, 0.000, 15.057]],
  "species": ["Tb", "Tb", "Tb", "Tb", "Tb", "Tb", "Tb", "Tb", "Tb", "Dy", "Dy", "Ho"],
  "fractional_positions": [[0.000, 0.000, 0.000], [0.000, 0.000, 0.333], [0.000, 0.000, 0.667], [0.000, 0.500, 0.166], [0.000, 0.500, 0.500], [0.000, 0.500, 0.834], [0.500, 0.000, 0.166], [0.500, 0.000, 0.500], [0.500, 0.000, 0.834], [0.500, 0.500, 0.333], [0.500, 0.500, 0.667], [0.500, 0.500, 0.000]]
}


[4]
{
  "formula": "Ba2Pb",
  "functional": "GGA-PBE",
  "state": "relaxed",
  "spacegroup": "P6_3/mmc (194)",
  "delta_e_f_ev_per_atom": 0.0621,
  "e_tot_ev_per_cell": -29.47,
  "magnetic_moment_mub_per_fu": 0.00,
  "lattice_angstrom": [[8.089, 0.000, 0.000], [-4.044, 7.005, 0.000], [0.000, 0.000, 9.189]],
  "species": ["Ba", "Ba", "Ba", "Ba", "Ba", "Ba", "Ba", "Ba", "Pb", "Pb", "Pb", "Pb"],
  "fractional_positions": [[0.000, 0.000, 0.000], [0.000, 0.000, 0.500], [0.186, 0.371, 0.250], [0.186, 0.814, 0.250], [0.371, 0.186, 0.750], [0.629, 0.814, 0.250], [0.814, 0.186, 0.750], [0.814, 0.629, 0.750], [0.333, 0.667, 0.580], [0.333, 0.667, 0.920], [0.667, 0.333, 0.080], [0.667, 0.333, 0.420]]
}


[5]
{
  "formula": "Tb4PrZn",
  "functional": "GGA-PBE",
  "state": "relaxed",
  "spacegroup": "C2/c (15)",
  "delta_e_f_ev_per_atom": -0.0052,
  "de_polymorph_kj_per_mol_fu": 53,
  "e_tot_ev_per_cell": -49.21,
  "magnetic_moment_mub_per_fu": 0.00,
  "lattice_angstrom": [[4.466, -6.818, 0.000], [4.466, 6.818, 0.000], [-2.030, 0.000, 5.921]],
  "species": ["Tb", "Tb", "Tb", "Tb", "Tb", "Tb", "Tb", "Tb", "Pr", "Pr", "Zn", "Zn"],
  "fractional_positions": [[0.075, 0.715, 0.948], [0.166, 0.383, 0.629], [0.285, 0.925, 0.552], [0.383, 0.166, 0.129], [0.617, 0.834, 0.871], [0.715, 0.075, 0.448], [0.834, 0.617, 0.371], [0.925, 0.285, 0.052], [0.400, 0.600, 0.250], [0.600, 0.400, 0.750], [0.000, 0.000, 0.250], [0.000, 0.000, 0.750]]
}


[6]
{
  "formula": "UZn3Pt2",
  "functional": "GGA-PBE",
  "state": "relaxed",
  "spacegroup": "C2/m (12)",
  "delta_e_f_ev_per_atom": -0.4052,
  "e_tot_ev_per_cell": -59.25,
  "magnetic_moment_mub_per_fu": 2.00,
  "lattice_angstrom": [[8.005, -2.038, 0.000], [8.005, 2.038, 0.000], [-2.312, 0.000, 6.344]],
  "species": ["U", "U", "Zn", "Zn", "Zn", "Zn", "Zn", "Zn", "Pt", "Pt", "Pt", "Pt"],
  "fractional_positions": [[0.112, 0.112, 0.153], [0.888, 0.888, 0.847], [0.075, 0.075, 0.654], [0.301, 0.301, 0.091], [0.373, 0.373, 0.499], [0.627, 0.627, 0.501], [0.699, 0.699, 0.909], [0.925, 0.925, 0.346], [0.244, 0.244, 0.664], [0.476, 0.476, 0.179], [0.524, 0.524, 0.821], [0.756, 0.756, 0.336]]
}


[7]
{
  "formula": "HfZnP2N6",
  "functional": "GGA-PBE",
  "state": "relaxed",
  "spacegroup": "C2/c (15)",
  "e_tot_ev_per_cell": -151.51,
  "magnetic_moment_mub_per_fu": 0.00,
  "lattice_angstrom": [[5.205, -4.520, 0.000], [5.205, 4.520, 0.000], [-2.110, 0.000, 4.944]],
  "species": ["Hf", "Hf", "Zn", "Zn", "P", "P", "P", "P", "N", "N", "N", "N", "N", "N", "N", "N", "N", "N", "N", "N"],
  "fractional_positions": [[0.111, 0.889, 0.750], [0.889, 0.111, 0.250], [0.269, 0.731, 0.250], [0.731, 0.269, 0.750], [0.216, 0.370, 0.819], [0.370, 0.216, 0.319], [0.630, 0.784, 0.681], [0.784, 0.630, 0.181], [0.042, 0.206, 0.676], [0.152, 0.610, 0.837], [0.206, 0.042, 0.176], [0.312, 0.387, 0.146], [0.387, 0.312, 0.646], [0.390, 0.848, 0.663], [0.610, 0.152, 0.337], [0.613, 0.688, 0.354], [0.688, 0.613, 0.854], [0.794, 0.958, 0.824], [0.848, 0.390, 0.163], [0.958, 0.794, 0.324]]
}


[8]
{
  "formula": "SiHg",
  "functional": "GGA-PBE",
  "state": "relaxed",
  "spacegroup": "P6_3/mmc (194)",
  "de_polymorph_kj_per_mol_fu": 56,
  "e_tot_ev_per_cell": -9.71,
  "magnetic_moment_mub_per_fu": 0.00,
  "lattice_angstrom": [[4.525, 0.000, 0.000], [-2.262, 3.919, 0.000], [0.000, 0.000, 4.942]],
  "species": ["Si", "Si", "Hg", "Hg"],
  "fractional_positions": [[0.000, 0.000, 0.000], [0.000, 0.000, 0.500], [0.333, 0.667, 0.250], [0.667, 0.333, 0.750]]
}


[9]
{
  "formula": "CaEuPdPt",
  "functional": "GGA-PBE",
  "state": "relaxed",
  "spacegroup": "F-43m (216)",
  "delta_e_f_ev_per_atom": -0.7851,
  "e_tot_ev_per_cell": -26.65,
  "magnetic_moment_mub_per_fu": 6.84,
  "lattice_angstrom": [[0.000, 3.560, 3.560], [3.560, 0.000, 3.560], [3.560, 3.560, 0.000]],
  "species": ["Ca", "Eu", "Pd", "Pt"],
  "fractional_positions": [[0.000, 0.000, 0.000], [0.500, 0.500, 0.500], [0.750, 0.750, 0.750], [0.250, 0.250, 0.250]]
}


[10]
{
  "formula": "La2Er2Mg",
  "functional": "GGA-PBE",
  "state": "relaxed",
  "spacegroup": "C2/m (12)",
  "delta_e_f_ev_per_atom": -0.0110,
  "e_tot_ev_per_cell": -20.63,
  "magnetic_moment_mub_per_fu": 0.00,
  "lattice_angstrom": [[12.341, -1.813, 0.000], [12.341, 1.813, 0.000], [-0.532, 0.000, 3.598]],
  "species": ["La", "La", "Er", "Er", "Mg"],
  "fractional_positions": [[0.096, 0.096, 0.096], [0.904, 0.904, 0.904], [0.299, 0.299, 0.299], [0.701, 0.701, 0.701], [0.500, 0.500, 0.500]]
}


[11]
{
  "formula": "CaSe3N",
  "functional": "GGA-PBE",
  "state": "relaxed",
  "spacegroup": "Pm-3m (221)",
  "de_polymorph_kj_per_mol_fu": 515,
  "e_tot_ev_per_cell": -15.32,
  "magnetic_moment_mub_per_fu": 7.00,
  "lattice_angstrom": [[5.757, 0.000, 0.000], [0.000, 5.757, 0.000], [0.000, 0.000, 5.757]],
  "species": ["Ca", "Se", "Se", "Se", "N"],
  "fractional_positions": [[0.000, 0.000, 0.000], [0.000, 0.000, 0.500], [0.000, 0.500, 0.000], [0.500, 0.000, 0.000], [0.500, 0.500, 0.500]]
}


[12]
{
  "formula": "Cs3AgHg",
  "functional": "GGA-PBE",
  "state": "relaxed",
  "spacegroup": "P2_1/c (14)",
  "delta_e_f_ev_per_atom": -0.0822,
  "de_polymorph_kj_per_mol_fu": 0,
  "e_tot_ev_per_cell": -24.50,
  "magnetic_moment_mub_per_fu": 0.00,
  "lattice_angstrom": [[12.170, 0.000, 0.000], [0.000, 9.347, 0.000], [-3.809, 0.000, 10.480]],
  "species": ["Cs", "Cs", "Cs", "Cs", "Cs", "Cs", "Cs", "Cs", "Cs", "Cs", "Cs", "Cs", "Ag", "Ag", "Ag", "Ag", "Hg", "Hg", "Hg", "Hg"],
  "fractional_positions": [[0.055, 0.005, 0.216], [0.055, 0.495, 0.716], [0.286, 0.649, 0.126], [0.286, 0.851, 0.626], [0.341, 0.174, 0.016], [0.341, 0.326, 0.516], [0.659, 0.674, 0.484], [0.659, 0.826, 0.984], [0.714, 0.149, 0.374], [0.714, 0.351, 0.874], [0.945, 0.505, 0.284], [0.945, 0.995, 0.784], [0.049, 0.145, 0.525], [0.049, 0.355, 0.025], [0.951, 0.645, 0.975], [0.951, 0.855, 0.475], [0.416, 0.532, 0.865], [0.416, 0.968, 0.365], [0.584, 0.032, 0.635], [0.584, 0.468, 0.135]]
}